#w
A relaxed structure of Nd3ErTm4, computed with PBE-GGA.

abc: 3.474 11.614 8.862
angles: 130.94 101.30 89.99
Fractional positions:
Tm (0.635, 0.380, 0.270)
Tm (0.365, 0.109, 0.730)
Tm (0.365, 0.620, 0.730)
Tm (0.635, 0.891, 0.270)
Er (0.500, 0.000, 0.000)
Nd (0.756, 0.756, 0.512)
Nd (0.244, 0.244, 0.488)
Nd (0.000, 0.500, 0.000)

#x
A relaxed structure of Nd3ErTm4, computed with PBE-GGA.

abc: 6.262 7.281 11.360
angles: 90.00 90.00 90.00
Fractional positions:
Tm (0.648, 0.120, 0.000)
Tm (0.981, 0.121, 0.248)
Tm (0.481, 0.879, 0.748)
Tm (0.148, 0.879, 0.000)
Tm (0.148, 0.880, 0.500)
Tm (0.481, 0.879, 0.252)
Tm (0.648, 0.121, 0.500)
Tm (0.981, 0.121, 0.752)
Nd (0.647, 0.628, 0.000)
Nd (0.147, 0.372, 0.500)
Nd (0.982, 0.627, 0.750)
Nd (0.482, 0.373, 0.750)
Nd (0.982, 0.627, 0.250)
Nd (0.482, 0.373, 0.250)
Er (0.145, 0.369, 0.000)
Er (0.645, 0.631, 0.500)

Which structure wins on stability? #x wins.

#w
A relaxed structure of Nd5Er2Tm4, computed with PBE-GGA.

abc: 3.539 11.586 8.960
angles: 93.91 101.39 90.00
Fractional positions:
Er (0.284, 0.649, 0.569)
Er (0.716, 0.351, 0.431)
Tm (0.965, 0.740, 0.929)
Tm (0.035, 0.260, 0.071)
Tm (0.360, 0.206, 0.719)
Tm (0.640, 0.794, 0.281)
Nd (0.823, 0.930, 0.647)
Nd (0.500, 0.000, 0.000)
Nd (0.903, 0.465, 0.805)
Nd (0.177, 0.070, 0.353)
Nd (0.097, 0.535, 0.195)

#x
A relaxed structure of Nd5Er2Tm4, computed with PBE-GGA.

abc: 3.514 9.070 12.730
angles: 110.87 97.93 90.00
Fractional positions:
Nd (0.500, 0.000, 0.000)
Nd (0.146, 0.347, 0.291)
Nd (0.854, 0.653, 0.709)
Nd (0.146, 0.945, 0.291)
Nd (0.854, 0.055, 0.709)
Tm (0.596, 0.596, 0.193)
Tm (0.000, 0.316, 0.000)
Tm (0.000, 0.684, 0.000)
Tm (0.404, 0.404, 0.807)
Er (0.270, 0.270, 0.539)
Er (0.730, 0.730, 0.461)

Which structure wins on stability? #w wins.

#w
A relaxed structure of Nd5Er12Tm2, computed with PBE-GGA.

abc: 8.967 9.939 8.647
angles: 67.71 90.00 116.81
Fractional positions:
Er (0.669, 0.711, 0.902)
Er (0.331, 0.289, 0.098)
Er (0.442, 0.885, 0.712)
Er (0.558, 0.115, 0.288)
Er (0.044, 0.089, 0.819)
Er (0.406, 0.254, 0.546)
Er (0.042, 0.711, 0.902)
Er (0.958, 0.289, 0.098)
Er (0.849, 0.254, 0.546)
Er (0.594, 0.746, 0.454)
Er (0.956, 0.911, 0.181)
Er (0.151, 0.746, 0.454)
Tm (0.327, 0.000, 0.000)
Tm (0.673, 0.000, 0.000)
Nd (0.000, 0.000, 0.500)
Nd (0.764, 0.529, 0.289)
Nd (0.236, 0.471, 0.711)
Nd (0.289, 0.578, 0.224)
Nd (0.711, 0.422, 0.776)

#x
A relaxed structure of Nd5Er12Tm2, computed with PBE-GGA.

abc: 12.279 12.279 8.589
angles: 47.39 47.39 44.26
Fractional positions:
Tm (0.326, 0.674, 0.000)
Tm (0.674, 0.326, 0.000)
Er (0.181, 0.561, 0.589)
Er (0.673, 0.032, 0.056)
Er (0.968, 0.327, 0.944)
Er (0.819, 0.439, 0.411)
Er (0.439, 0.819, 0.411)
Er (0.561, 0.181, 0.589)
Er (0.327, 0.968, 0.944)
Er (0.032, 0.673, 0.056)
Er (0.075, 0.075, 0.727)
Er (0.444, 0.444, 0.778)
Er (0.925, 0.925, 0.273)
Er (0.556, 0.556, 0.222)
Nd (0.231, 0.231, 0.109)
Nd (0.769, 0.769, 0.891)
Nd (0.294, 0.294, 0.394)
Nd (0.000, 0.000, 0.500)
Nd (0.706, 0.706, 0.606)

Which structure wins on stability? #x wins.

#w
A relaxed structure of Nd2ErTm4, computed with PBE-GGA.

abc: 9.458 8.384 8.721
angles: 138.75 96.54 91.59
Fractional positions:
Nd (0.629, 0.493, 0.370)
Nd (0.491, 0.247, 0.522)
Nd (0.139, 0.141, 0.532)
Nd (0.763, 0.830, 0.261)
Er (0.260, 0.473, 0.414)
Er (0.983, 0.814, 0.623)
Tm (0.687, 0.153, 0.806)
Tm (0.204, 0.817, 0.981)
Tm (0.334, 0.104, 0.857)
Tm (0.400, 0.707, 0.249)
Tm (0.853, 0.500, 0.725)
Tm (0.555, 0.855, 0.929)
Tm (0.043, 0.464, 0.064)
Tm (0.910, 0.152, 0.166)

#x
A relaxed structure of Nd2ErTm4, computed with PBE-GGA.

abc: 8.403 8.403 8.403
angles: 109.54 109.34 109.54
Fractional positions:
Tm (0.626, 0.750, 0.039)
Tm (0.124, 0.413, 0.374)
Tm (0.961, 0.587, 0.711)
Tm (0.626, 0.750, 0.539)
Tm (0.289, 0.250, 0.876)
Tm (0.789, 0.250, 0.876)
Tm (0.124, 0.913, 0.374)
Tm (0.461, 0.087, 0.211)
Nd (0.375, 0.876, 0.751)
Nd (0.249, 0.624, 0.125)
Nd (0.501, 0.376, 0.625)
Nd (0.875, 0.124, 0.499)
Er (0.750, 0.500, 0.250)
Er (0.000, 0.000, 0.000)

Which structure wins on stability? #w wins.

#w
A relaxed structure of Nd4ErTm2, computed with PBE-GGA.

abc: 12.540 12.540 6.789
angles: 97.01 97.01 150.21
Fractional positions:
Nd (0.151, 0.042, 0.105)
Nd (0.042, 0.151, 0.605)
Nd (0.564, 0.602, 0.142)
Nd (0.795, 0.186, 0.395)
Nd (0.186, 0.795, 0.895)
Nd (0.172, 0.710, 0.359)
Nd (0.602, 0.564, 0.642)
Nd (0.710, 0.172, 0.859)
Tm (0.920, 0.102, 0.049)
Tm (0.102, 0.920, 0.549)
Tm (0.621, 0.303, 0.451)
Tm (0.303, 0.621, 0.951)
Er (0.672, 0.422, 0.000)
Er (0.422, 0.672, 0.500)

#x
A relaxed structure of Nd4ErTm2, computed with PBE-GGA.

abc: 6.873 8.998 8.998
angles: 78.58 67.55 67.55
Fractional positions:
Nd (0.770, 0.760, 0.260)
Nd (0.150, 0.355, 0.346)
Nd (0.211, 0.760, 0.260)
Nd (0.150, 0.846, 0.855)
Nd (0.789, 0.240, 0.740)
Nd (0.850, 0.645, 0.654)
Nd (0.850, 0.154, 0.145)
Nd (0.230, 0.240, 0.740)
Tm (0.283, 0.967, 0.467)
Tm (0.500, 0.500, 0.500)
Tm (0.717, 0.033, 0.533)
Tm (0.500, 0.000, 0.000)
Er (0.000, 0.500, 0.000)
Er (0.500, 0.500, 0.000)

Which structure wins on stability? #w wins.

#w
A relaxed structure of Nd4Er5Tm2, computed with PBE-GGA.

abc: 5.623 6.619 9.937
angles: 90.72 106.44 90.00
Fractional positions:
Nd (0.694, 0.072, 0.387)
Nd (0.306, 0.928, 0.613)
Nd (0.980, 0.712, 0.959)
Nd (0.020, 0.288, 0.041)
Er (0.500, 0.000, 0.000)
Er (0.791, 0.598, 0.583)
Er (0.870, 0.112, 0.740)
Er (0.130, 0.888, 0.260)
Er (0.209, 0.402, 0.417)
Tm (0.402, 0.444, 0.803)
Tm (0.598, 0.556, 0.197)

#x
A relaxed structure of Nd4Er5Tm2, computed with PBE-GGA.

abc: 3.496 9.201 12.446
angles: 111.69 98.07 90.00
Fractional positions:
Er (0.500, 0.000, 0.000)
Er (0.149, 0.949, 0.297)
Er (0.851, 0.051, 0.703)
Er (0.149, 0.348, 0.297)
Er (0.851, 0.652, 0.703)
Nd (0.000, 0.706, 0.000)
Nd (0.596, 0.596, 0.192)
Nd (0.404, 0.404, 0.808)
Nd (0.000, 0.294, 0.000)
Tm (0.270, 0.270, 0.540)
Tm (0.730, 0.730, 0.460)

Which structure wins on stability? #w wins.

#w
A relaxed structure of Nd4ErTm6, computed with PBE-GGA.

abc: 9.668 9.668 9.668
angles: 57.92 139.95 139.95
Fractional positions:
Tm (0.644, 0.198, 0.198)
Tm (0.500, 0.500, 0.000)
Tm (0.356, 0.554, 0.554)
Tm (0.500, 0.000, 0.500)
Tm (0.000, 0.446, 0.802)
Tm (0.000, 0.802, 0.446)
Nd (0.000, 0.014, 0.635)
Nd (0.000, 0.635, 0.014)
Nd (0.379, 0.365, 0.365)
Nd (0.621, 0.986, 0.986)
Er (0.000, 0.000, 0.000)

#x
A relaxed structure of Nd4ErTm6, computed with PBE-GGA.

abc: 3.522 10.901 10.901
angles: 120.00 90.00 90.00
Fractional positions:
Tm (0.500, 0.169, 0.831)
Tm (0.500, 0.663, 0.831)
Tm (0.000, 0.496, 0.504)
Tm (0.000, 0.496, 0.993)
Tm (0.500, 0.169, 0.337)
Tm (0.000, 0.007, 0.504)
Nd (0.500, 0.390, 0.195)
Nd (0.500, 0.805, 0.195)
Nd (0.000, 0.333, 0.667)
Nd (0.500, 0.805, 0.610)
Er (0.000, 0.000, 0.000)

Which structure wins on stability? #x wins.

#w
A relaxed structure of Nd2Er9Tm, computed with PBE-GGA.

abc: 3.478 11.176 11.176
angles: 120.00 90.00 90.00
Fractional positions:
Er (0.500, 0.173, 0.347)
Er (0.500, 0.347, 0.173)
Er (0.500, 0.827, 0.653)
Er (0.000, 0.500, 0.500)
Er (0.000, 0.500, 0.000)
Er (0.500, 0.173, 0.827)
Er (0.500, 0.653, 0.827)
Er (0.500, 0.827, 0.173)
Er (0.000, 0.000, 0.500)
Tm (0.000, 0.000, 0.000)
Nd (0.000, 0.333, 0.667)
Nd (0.000, 0.667, 0.333)

#x
A relaxed structure of Nd2Er9Tm, computed with PBE-GGA.

abc: 4.998 4.998 14.992
angles: 90.00 90.00 90.00
Fractional positions:
Er (0.500, 0.500, 0.668)
Er (0.000, 0.500, 0.164)
Er (0.500, 0.000, 0.164)
Er (0.500, 0.500, 0.000)
Er (0.500, 0.000, 0.500)
Er (0.500, 0.000, 0.836)
Er (0.000, 0.500, 0.500)
Er (0.000, 0.500, 0.836)
Er (0.500, 0.500, 0.332)
Nd (0.000, 0.000, 0.667)
Nd (0.000, 0.000, 0.333)
Tm (0.000, 0.000, 0.000)

Which structure wins on stability? #x wins.

#w
A relaxed structure of Nd2Er3Tm6, computed with PBE-GGA.

abc: 6.042 6.048 11.604
angles: 84.99 79.93 60.03
Fractional positions:
Tm (0.749, 0.000, 0.754)
Tm (0.082, 0.333, 0.754)
Tm (0.251, 0.000, 0.246)
Tm (0.584, 0.333, 0.246)
Tm (0.416, 0.667, 0.754)
Tm (0.918, 0.667, 0.246)
Nd (0.167, 0.667, 0.500)
Nd (0.833, 0.333, 0.500)
Er (0.335, 0.330, 0.000)
Er (0.000, 0.000, 0.000)
Er (0.665, 0.670, 0.000)

#x
A relaxed structure of Nd2Er3Tm6, computed with PBE-GGA.

abc: 4.695 4.695 16.765
angles: 98.05 98.05 90.00
Fractional positions:
Tm (0.123, 0.623, 0.245)
Tm (0.623, 0.123, 0.245)
Tm (0.877, 0.377, 0.755)
Tm (0.695, 0.695, 0.390)
Tm (0.377, 0.877, 0.755)
Tm (0.305, 0.305, 0.610)
Nd (0.546, 0.546, 0.093)
Nd (0.454, 0.454, 0.907)
Er (0.000, 0.000, 0.000)
Er (0.202, 0.202, 0.404)
Er (0.798, 0.798, 0.596)

Which structure wins on stability? #w wins.

#w
A relaxed structure of Nd6Er2Tm, computed with PBE-GGA.

abc: 6.705 9.753 9.753
angles: 99.37 80.60 80.60
Fractional positions:
Nd (0.982, 0.731, 0.359)
Nd (0.482, 0.359, 0.731)
Nd (0.298, 0.927, 0.544)
Nd (0.702, 0.073, 0.456)
Nd (0.184, 0.040, 0.236)
Nd (0.816, 0.960, 0.764)
Nd (0.798, 0.544, 0.927)
Nd (0.018, 0.269, 0.641)
Nd (0.518, 0.641, 0.269)
Nd (0.202, 0.456, 0.073)
Nd (0.684, 0.236, 0.040)
Nd (0.316, 0.764, 0.960)
Er (0.637, 0.659, 0.622)
Er (0.137, 0.622, 0.659)
Er (0.863, 0.378, 0.341)
Er (0.363, 0.341, 0.378)
Tm (0.750, 0.892, 0.108)
Tm (0.250, 0.108, 0.892)

#x
A relaxed structure of Nd6Er2Tm, computed with PBE-GGA.

abc: 10.005 10.005 3.663
angles: 90.00 90.00 123.95
Fractional positions:
Nd (0.159, 0.490, 0.000)
Nd (0.685, 0.685, 0.500)
Nd (0.315, 0.315, 0.500)
Nd (0.841, 0.510, 0.000)
Nd (0.490, 0.159, 0.000)
Nd (0.510, 0.841, 0.000)
Er (0.825, 0.175, 0.500)
Er (0.175, 0.825, 0.500)
Tm (0.000, 0.000, 0.000)

Which structure wins on stability? #w wins.